(1)
# ZrBeCu, relaxed, DFT PBE
data_ZrBeCu
_chemical_formula_sum 'Zr6 Be6 Cu6'
_symmetry_space_group_name_H-M 'P m m a'
_symmetry_Int_Tables_number 51
_cell_length_a 11.112
_cell_length_b 3.749
_cell_length_c 6.209
_cell_angle_alpha 90.00
_cell_angle_beta 90.00
_cell_angle_gamma 90.00
loop_
_symmetry_equiv_pos_as_xyz
'x,y,z'
'-x,-y,-z'
'-x+1/2,-y,z'
'x+1/2,y,-z'
'x+1/2,-y,-z'
'-x+1/2,y,z'
'-x,y,-z'
'x,-y,z'
loop_
_atom_site_label
_atom_site_type_symbol
_atom_site_fract_x
_atom_site_fract_y
_atom_site_fract_z
Zr1 Zr 0.036 0.000 0.245
Zr2 Zr 0.250 0.000 0.860
Be1 Be 0.094 0.500 0.952
Be2 Be 0.250 0.000 0.431
Cu1 Cu 0.131 0.500 0.569
Cu2 Cu 0.250 0.500 0.212
# Spin magnetization   0.0 μB per formula unit
# Calculated volume   259 Å³ per cell
# Raw total energy   -0.2070 hartree per atom

=====

(2)
# BeNb4Al, relaxed, DFT PBE
data_BeNb4Al
_chemical_formula_sum 'Be2 Nb8 Al2'
_symmetry_space_group_name_H-M 'P 4/m c c'
_symmetry_Int_Tables_number 124
_symmetry_space_group_name_Hall '-P 4 2c'
_cell_length_a 6.161
_cell_length_b 6.161
_cell_length_c 5.161
_cell_angle_alpha 90.00
_cell_angle_beta 90.00
_cell_angle_gamma 90.00
loop_
_atom_site_label
_atom_site_type_symbol
_atom_site_fract_x
_atom_site_fract_y
_atom_site_fract_z
Be1 Be 0.000 0.000 0.250
Nb1 Nb 0.138 0.324 0.000
Al1 Al 0.500 0.500 0.250
# Spin magnetization   0.0 μB per formula unit
# Calculated volume   196 Å³ per cell
# Raw total energy   -0.2995 hartree per atom

=====

(3)
# Zr3ReAg, relaxed, DFT PBE
data_Zr3ReAg
_chemical_formula_sum 'Zr3 Re1 Ag1'
_symmetry_space_group_name_H-M 'P m -3 m'
_symmetry_Int_Tables_number 221
_symmetry_space_group_name_Hall '-P 4 2 3'
_cell_length_a 5.077
_cell_length_b 5.077
_cell_length_c 5.077
_cell_angle_alpha 90.00
_cell_angle_beta 90.00
_cell_angle_gamma 90.00
loop_
_atom_site_label
_atom_site_type_symbol
_atom_site_fract_x
_atom_site_fract_y
_atom_site_fract_z
Zr1 Zr 0.000 0.000 0.500
Re1 Re 0.000 0.000 0.000
Ag1 Ag 0.500 0.500 0.500
# Spin magnetization   0.0 μB per formula unit
# Calculated volume   131 Å³ per cell
# Raw total energy   -0.2785 hartree per atom

=====

(4)
# NaPr2Se, relaxed, DFT PBE
data_NaPr2Se
_chemical_formula_sum 'Na3 Pr6 Se3'
_symmetry_space_group_name_H-M 'R -3 m'
_symmetry_Int_Tables_number 166
_symmetry_space_group_name_Hall '-R 3 2"'
_cell_length_a 3.9990
_cell_length_b 3.9990
_cell_length_c 32.8002
_cell_angle_alpha 90.00
_cell_angle_beta 90.00
_cell_angle_gamma 120.00
loop_
_atom_site_label
_atom_site_type_symbol
_atom_site_fract_x
_atom_site_fract_y
_atom_site_fract_z
Na1 Na 0.0000 0.0000 0.0000
Pr1 Pr 0.0000 0.0000 0.1123
Se1 Se 0.0000 0.0000 0.5000
# Formation energy (no corrections)   -241 kJ/mol of formula units
# Spin magnetization   0.3 μB per formula unit
# Calculated volume   454 Å³ per cell

=====

(5)
# Ca3Se4, relaxed, DFT PBE
data_Ca3Se4
_chemical_formula_sum 'Ca6 Se8'
_symmetry_space_group_name_H-M 'I 4/m m m'
_symmetry_Int_Tables_number 139
_symmetry_space_group_name_Hall '-I 4 2'
_cell_length_a 4.087
_cell_length_b 4.087
_cell_length_c 24.346
_cell_angle_alpha 90.00
_cell_angle_beta 90.00
_cell_angle_gamma 90.00
loop_
_atom_site_label
_atom_site_type_symbol
_atom_site_fract_x
_atom_site_fract_y
_atom_site_fract_z
Ca1 Ca 0.000 0.000 0.000
Ca2 Ca 0.000 0.000 0.307
Se1 Se 0.000 0.000 0.185
Se2 Se 0.000 0.000 0.450
# Formation energy (no corrections)   -1048 kJ/mol of formula units
# Spin magnetization   0.0 μB per formula unit
# Calculated volume   407 Å³ per cell

=====

(6)
# PdI2Br8, relaxed, DFT PBE
data_PdI2Br8
_chemical_formula_sum 'Pd2 I4 Br16'
_symmetry_space_group_name_H-M 'C 1 2/m 1'
_symmetry_Int_Tables_number 12
_cell_length_a 12.094
_cell_length_b 9.901
_cell_length_c 8.768
_cell_angle_alpha 90.00
_cell_angle_beta 95.56
_cell_angle_gamma 90.00
loop_
_symmetry_equiv_pos_as_xyz
'x,y,z'
'-x,-y,-z'
'-x,y,-z'
'x,-y,z'
'x+1/2,y+1/2,z'
'-x+1/2,-y+1/2,-z'
'-x+1/2,y+1/2,-z'
'x+1/2,-y+1/2,z'
loop_
_atom_site_label
_atom_site_type_symbol
_atom_site_fract_x
_atom_site_fract_y
_atom_site_fract_z
Pd1 Pd 0.000 0.000 0.000
I1 I 0.162 0.000 0.423
Br1 Br 0.070 0.000 0.717
Br2 Br 0.135 0.500 0.468
Br3 Br 0.137 0.177 0.089
# Formation energy (no corrections)   -12 kJ/mol of formula units
# Spin magnetization   0.0 μB per formula unit
# Calculated volume   1045 Å³ per cell

=====

(7)
# HRh4Pb5, relaxed, DFT PBE
data_HRh4Pb5
_chemical_formula_sum 'H2 Rh8 Pb10'
_symmetry_space_group_name_H-M 'C 1 2/m 1'
_symmetry_Int_Tables_number 12
_cell_length_a 16.616
_cell_length_b 3.688
_cell_length_c 6.848
_cell_angle_alpha 90.00
_cell_angle_beta 99.72
_cell_angle_gamma 90.00
loop_
_symmetry_equiv_pos_as_xyz
'x,y,z'
'-x,-y,-z'
'-x,y,-z'
'x,-y,z'
'x+1/2,y+1/2,z'
'-x+1/2,-y+1/2,-z'
'-x+1/2,y+1/2,-z'
'x+1/2,-y+1/2,z'
loop_
_atom_site_label
_atom_site_type_symbol
_atom_site_fract_x
_atom_site_fract_y
_atom_site_fract_z
H1 H 0.000 0.000 0.000
Rh1 Rh 0.004 0.500 0.798
Rh2 Rh 0.105 0.000 0.054
Pb1 Pb 0.000 0.000 0.500
Pb2 Pb 0.168 0.500 0.344
Pb3 Pb 0.179 0.500 0.833
# Spin magnetization   0.0 μB per formula unit
# Calculated volume   414 Å³ per cell
# Raw total energy   -0.1874 hartree per atom

=====

(8)
# LaScI, relaxed, DFT PBE
data_LaScI
_chemical_formula_sum 'La2 Sc2 I2'
_symmetry_space_group_name_H-M 'P -1'
_symmetry_Int_Tables_number 2
_cell_length_a 5.448
_cell_length_b 6.200
_cell_length_c 6.424
_cell_angle_alpha 104.55
_cell_angle_beta 115.04
_cell_angle_gamma 90.11
loop_
_symmetry_equiv_pos_as_xyz
'x,y,z'
'-x,-y,-z'
loop_
_atom_site_label
_atom_site_type_symbol
_atom_site_fract_x
_atom_site_fract_y
_atom_site_fract_z
La1 La 0.122 0.323 0.244
Sc1 Sc 0.436 0.232 0.872
I1 I 0.174 0.840 0.349
# Formation energy (no corrections)   -98 kJ/mol of formula units
# Spin magnetization   0.0 μB per formula unit
# Calculated volume   189 Å³ per cell

=====

(9)
# TlCdIn3Pb, relaxed, DFT PBE
data_TlCdIn3Pb
_chemical_formula_sum 'Tl2 Cd2 In6 Pb2'
_symmetry_space_group_name_H-M 'P 1 21/m 1'
_symmetry_Int_Tables_number 11
_cell_length_a 9.121
_cell_length_b 3.551
_cell_length_c 11.081
_cell_angle_alpha 90.00
_cell_angle_beta 110.01
_cell_angle_gamma 90.00
loop_
_symmetry_equiv_pos_as_xyz
'x,y,z'
'-x,-y,-z'
'-x,y+1/2,-z'
'x,-y+1/2,z'
loop_
_atom_site_label
_atom_site_type_symbol
_atom_site_fract_x
_atom_site_fract_y
_atom_site_fract_z
Tl1 Tl 0.029 0.250 0.139
Cd1 Cd 0.037 0.750 0.394
In1 In 0.265 0.750 0.690
In2 In 0.323 0.250 0.946
In3 In 0.338 0.250 0.461
Pb1 Pb 0.403 0.750 0.217
# Spin magnetization   0.0 μB per formula unit
# Calculated volume   337 Å³ per cell
# Raw total energy   -0.0923 hartree per atom

=====

(10)
# Te2IrPt, relaxed, DFT PBE
data_Te2IrPt
_chemical_formula_sum 'Te8 Ir4 Pt4'
_symmetry_space_group_name_H-M 'I -4 2 d'
_symmetry_Int_Tables_number 122
_symmetry_space_group_name_Hall 'I -4 2bw'
_cell_length_a 5.869
_cell_length_b 5.869
_cell_length_c 12.382
_cell_angle_alpha 90.00
_cell_angle_beta 90.00
_cell_angle_gamma 90.00
loop_
_atom_site_label
_atom_site_type_symbol
_atom_site_fract_x
_atom_site_fract_y
_atom_site_fract_z
Te1 Te 0.241 0.250 0.125
Ir1 Ir 0.000 0.000 0.000
Pt1 Pt 0.000 0.000 0.500
# Formation energy (no corrections)   23 kJ/mol of formula units
# Spin magnetization   0.0 μB per formula unit
# Calculated volume   426 Å³ per cell

=====

(11)
# La2Pr3Hg4, relaxed, DFT PBE
data_La2Pr3Hg4
_chemical_formula_sum 'La8 Pr12 Hg16'
_symmetry_space_group_name_H-M 'C m c e'
_symmetry_Int_Tables_number 64
_symmetry_space_group_name_Hall '-C 2ac 2'
_cell_length_a 7.230
_cell_length_b 18.350
_cell_length_c 8.594
_cell_angle_alpha 90.00
_cell_angle_beta 90.00
_cell_angle_gamma 90.00
loop_
_atom_site_label
_atom_site_type_symbol
_atom_site_fract_x
_atom_site_fract_y
_atom_site_fract_z
La1 La 0.000 0.095 0.082
Pr1 Pr 0.000 0.000 0.500
Pr2 Pr 0.250 0.240 0.750
Hg1 Hg 0.000 0.168 0.473
Hg2 Hg 0.250 0.065 0.750
# Spin magnetization   0.0 μB per formula unit
# Calculated volume   1140 Å³ per cell
# Raw total energy   -0.1158 hartree per atom

=====

(12)
# Tb2Tm4ThSc, relaxed, DFT PBE
data_Tb2Tm4ThSc
_chemical_formula_sum 'Tb2 Tm4 Th1 Sc1'
_symmetry_space_group_name_H-M 'P 4/m m m'
_symmetry_Int_Tables_number 123
_symmetry_space_group_name_Hall '-P 4 2'
_cell_length_a 5.727
_cell_length_b 5.727
_cell_length_c 7.410
_cell_angle_alpha 90.00
_cell_angle_beta 90.00
_cell_angle_gamma 90.00
loop_
_atom_site_label
_atom_site_type_symbol
_atom_site_fract_x
_atom_site_fract_y
_atom_site_fract_z
Tb1 Tb 0.000 0.000 0.000
Tb2 Tb 0.500 0.500 0.500
Tm1 Tm 0.000 0.500 0.242
Th1 Th 0.000 0.000 0.500
Sc1 Sc 0.500 0.500 0.000
# Spin magnetization   0.0 μB per formula unit
# Calculated volume   243 Å³ per cell
# Raw total energy   -0.1829 hartree per atom